Entry from the Alexandria database: NdLuCuGe after structural relaxation (GGA-PBE).

Results
Energy of formation from the pure elements in meV per atom: -454
Energy in eV per atom: -4.954
Total magnetization in μB/atom: 0.00
ρ in Mg/m³: 8.50

a b c (Å): 5.0099 5.0099 5.0099
angles (deg): 60.00 60.00 60.00
With the nearest neighbours (Å) after each atom.
Positions (direct):
Nd1 0.0000 0.0000 0.0000  4 Ge 3.07, 4 Cu 3.07
Lu1 0.5000 0.5000 0.5000  4 Cu 3.07, 4 Ge 3.07
Cu1 0.7500 0.7500 0.7500  4 Nd 3.07, 4 Lu 3.07
Ge1 0.2500 0.2500 0.2500  4 Lu 3.07, 4 Nd 3.07